InNi2Te: relaxed, PBE.

Cell: 5.2096 5.2096 3.9062 Å, 90.00 90.00 40.31°
With the nearest neighbours (Å) after each atom.
Atoms (fractional coordinates):
Te 0.5164 0.5164 0.6250  7 Ni 2.71-2.83
In 0.2343 0.2343 0.1250  7 Ni 2.71-2.82
Ni 0.7932 0.7932 0.6250  2 Ni 2.52, 1 Te 2.71, 4 In 2.71
Ni 0.9561 0.9561 0.1250  2 Ni 2.52, 4 Te 2.72, 3 In 2.72-2.82

Summary:
Calculated total energy, eV/atom: -4.415
DOS(E_F), states/eV/atom: 0.70
E above lowest polymorph, meV/atom: 121.6
Size of the total moment, μB/atom: 0.000
Symmetry: No. 38

In2Ni2Te: relaxed, PBE.

Cell: 3.5532 3.5532 8.5431 Å, 78.00 78.00 90.00°
With the nearest neighbours (Å) after each atom.
Atoms (fractional coordinates):
Te 0.0000 0.0000 0.0000  8 In 3.27, 4 Te 3.55
Ni 0.7500 0.2500 0.5000  4 Ni 2.51, 4 In 2.67
In 0.3722 0.3722 0.2555  4 Ni 2.67
In 0.6278 0.6278 0.7445  4 Ni 2.67
Ni 0.2500 0.7500 0.5000  4 Ni 2.51, 4 In 2.67

Summary:
Calculated total energy, eV/atom: -3.888
DOS(E_F), states/eV/atom: 0.97
E above lowest polymorph, meV/atom: 118.3
Size of the total moment, μB/atom: 0.000
Symmetry: No. 139

InNiTe4: relaxed, PBE.

Cell: 6.3792 6.3792 6.3792 Å, 60.00 60.00 60.00°
With the nearest neighbours (Å) after each atom.
Atoms (fractional coordinates):
Ni 0.0000 0.0000 0.0000  12 Te 3.74, 4 In 3.91
Te 0.8782 0.3739 0.3739  6 Te 3.16-3.22
Te 0.3739 0.3739 0.3739  6 Te 3.16-3.22
Te 0.3739 0.3739 0.8782  6 Te 3.16-3.22
Te 0.3739 0.8782 0.3739  6 Te 3.16-3.22
In 0.7500 0.7500 0.7500  12 Te 3.74, 4 Ni 3.91

Summary:
Calculated total energy, eV/atom: -2.836
DOS(E_F), states/eV/atom: 1.66
Size of the total moment, μB/atom: 0.202
Symmetry: No. 216

InNi2Te: relaxed, PBE.

Cell: 6.6187 6.6187 6.6187 Å, 32.44 32.44 32.44°
With the nearest neighbours (Å) after each atom.
Atoms (fractional coordinates):
Te 0.2500 0.2500 0.2500  6 Ni 2.60
In 0.7500 0.7500 0.7500  6 Ni 2.70
Ni 0.5048 0.5048 0.5048  3 Te 2.60, 3 In 2.70
Ni 0.9952 0.9952 0.9952  3 Te 2.60, 3 In 2.70

Summary:
Calculated total energy, eV/atom: -4.258
DOS(E_F), states/eV/atom: 0.86
E above lowest polymorph, meV/atom: 278.3
Size of the total moment, μB/atom: 0.000
Symmetry: No. 166